Entry 1:
The following is a PBE-GGA calculation of CePrTh2 after structural relaxation, from Alexandria via LeMat-Bulk.

Computed properties:
- Polymorph energy (0 for the lowest one): 0.0357 eV per atom
- Energy of formation: 0.36 eV/f.u.

a b c (Å): 5.000 5.038 5.038
angles (deg): 90.00 90.00 90.00
Last column: magnetic moment on the atom in μB.
Fractional coordinates of all 4 atoms:
Pr1 0.500 0.000 0.000  0.00
Ce1 0.500 0.500 0.500  0.12
Th1 0.000 0.000 0.500  0.01
Th2 0.000 0.500 0.000  0.01

***

Entry 2:
The following is a PBE-GGA calculation of SrNpAu10 after structural relaxation, from Alexandria via LeMat-Bulk.

Computed properties:
- Energy of formation: -2.88 eV/f.u.

a b c (Å): 4.706 5.616 9.795
angles (deg): 90.00 90.00 90.00
Last column: magnetic moment on the atom in μB.
Fractional coordinates of all 12 atoms:
Sr1 0.000 0.500 0.500  0.01
Np1 0.000 0.000 0.000  4.20
Au1 0.000 0.000 0.328  0.01
Au2 0.000 0.500 0.838  0.01
Au3 0.000 0.500 0.162  0.01
Au4 0.000 0.000 0.672  0.01
Au5 0.500 0.000 0.500  0.02
Au6 0.500 0.500 0.000  0.02
Au7 0.500 0.248 0.246  0.02
Au8 0.500 0.752 0.754  0.02
Au9 0.500 0.752 0.246  0.02
Au10 0.500 0.248 0.754  0.02

***

Entry 3:
The following is a PBE-GGA calculation of OsRu2 after structural relaxation, from Alexandria via LeMat-Bulk.

Computed properties:
- Polymorph energy (0 for the lowest one): 1.0160 eV per atom
- Energy of formation: 3.02 eV/f.u.

a b c (Å): 4.348 4.348 2.739
angles (deg): 90.00 90.00 90.00
Fractional coordinates of all 3 atoms:
Os1 0.000 0.000 0.000
Ru1 0.000 0.500 0.500
Ru2 0.500 0.000 0.500

***

Entry 4:
The following is a PBE-GGA calculation of Ba2AcNpO6 after structural relaxation, from Alexandria via LeMat-Bulk.

Computed properties:
- Uncorrected formation energy: -3.031 eV per atom

a b c (Å): 6.359 6.426 9.027
angles (deg): 90.00 90.44 90.00
Last column: magnetic moment on the atom in μB.
Fractional coordinates of all 20 atoms:
Ba1 0.010 0.967 0.250  0.01
Ba2 0.510 0.533 0.750  0.01
Ba3 0.990 0.033 0.750  0.01
Ba4 0.490 0.467 0.250  0.01
Ac1 0.500 0.000 0.000  -0.01
Ac2 0.000 0.500 0.500  -0.01
Np1 0.500 0.000 0.500  2.20
Np2 0.000 0.500 0.000  2.20
O1 0.267 0.695 0.045  -0.04
O2 0.767 0.805 0.545  -0.04
O3 0.733 0.305 0.955  -0.04
O4 0.233 0.195 0.455  -0.04
O5 0.306 0.730 0.447  -0.04
O6 0.806 0.770 0.947  -0.04
O7 0.694 0.270 0.553  -0.04
O8 0.194 0.230 0.053  -0.04
O9 0.910 0.532 0.231  -0.04
O10 0.410 0.968 0.731  -0.04
O11 0.090 0.468 0.769  -0.04
O12 0.590 0.032 0.269  -0.04

***

| no. | ρ (g/cm3) | E (eV/atom) |
| --- | --- | --- |
| 1 | 9.7 | -6.30 |
| 2 | 14.7 | -4.19 |
| 3 | 12.6 | -8.92 |
| 4 | 7.5 | -8.10 |